(1)
DFT (PBE-GGA) results for BeZnTeS after structural relaxation.

Magnetization (μB per cell): 0.000
ΔE_f (raw) (eV/atom): -0.42
Space-group type: P1, No. 1
Raw total energy (eV/atom): -3.490

Cell lengths 3.934, 3.935, 6.967 Å; angles 89.40, 89.87, 60.17 degrees
Sites, in units of the cell vectors:
Zn  0.675  0.688  0.424
S  0.341  0.356  0.354
Be  0.341  0.345  0.671
Te  0.009  0.008  0.804

***

(2)
DFT (PBE-GGA) results for BeZnTeS after structural relaxation.

Magnetization (μB per cell): 0.000
ΔE_f (raw) (eV/atom): -0.62
Space-group type: R3m, No. 160
Raw total energy (eV/atom): -3.685

Cell lengths 3.939, 3.939, 19.128 Å; angles 90.00, 90.00, 120.00 degrees
Sites, in units of the cell vectors:
Te  0.667  0.333  0.456
Be  0.667  0.333  0.077
S  0.333  0.667  0.302
Be  0.000  0.000  0.744
S  0.000  0.000  0.635
Be  0.333  0.667  0.411
Te  0.333  0.667  0.789
Zn  0.667  0.333  0.595
Zn  0.333  0.667  0.928
S  0.667  0.333  0.968
Te  0.000  0.000  0.123
Zn  0.000  0.000  0.262

***

(3)
DFT (PBE-GGA) results for BeZnTeS after structural relaxation.

Magnetization (μB per cell): 0.000
ΔE_f (raw) (eV/atom): -0.56
Space-group type: Pmm2, No. 25
Raw total energy (eV/atom): -3.632

Cell lengths 3.879, 3.944, 5.586 Å; angles 90.00, 90.00, 90.00 degrees
Sites, in units of the cell vectors:
Be  0.500  0.500  0.657
S  0.000  0.500  0.463
Zn  0.000  0.000  0.222
Te  0.500  0.000  0.911

***

(4)
DFT (PBE-GGA) results for BeZnTeS after structural relaxation.

Magnetization (μB per cell): 0.000
ΔE_f (raw) (eV/atom): -0.61
Space-group type: P3m1, No. 156
Raw total energy (eV/atom): -3.675

Cell lengths 3.926, 3.926, 6.427 Å; angles 90.00, 90.00, 120.00 degrees
Sites, in units of the cell vectors:
S  0.000  0.000  0.604
Te  0.333  0.667  0.139
Be  0.000  0.000  0.278
Zn  0.333  0.667  0.726

***

(5)
DFT (PBE-GGA) results for BeZnTeS after structural relaxation.

Magnetization (μB per cell): 0.000
ΔE_f (raw) (eV/atom): -0.47
Space-group type: Cm, No. 8
Raw total energy (eV/atom): -3.534

Cell lengths 6.619, 3.780, 7.835 Å; angles 90.00, 98.33, 90.00 degrees
Sites, in units of the cell vectors:
S  0.499  0.500  0.990
S  0.499  0.000  0.490
Zn  0.146  0.500  0.962
Te  0.986  0.500  0.629
Zn  0.146  0.000  0.462
Be  0.623  0.500  0.543
Be  0.623  0.000  0.043
Te  0.986  0.000  0.129

***

(6)
DFT (PBE-GGA) results for BeZnTeS after structural relaxation.

Magnetization (μB per cell): 0.000
ΔE_f (raw) (eV/atom): -0.49
Space-group type: Cm, No. 8
Raw total energy (eV/atom): -3.561

Cell lengths 7.086, 3.969, 6.875 Å; angles 90.00, 90.86, 90.00 degrees
Sites, in units of the cell vectors:
Zn  0.578  0.500  0.094
Te  0.193  0.500  0.087
Be  0.330  0.000  0.923
S  0.645  0.500  0.428
S  0.645  0.000  0.928
Te  0.193  0.000  0.587
Zn  0.578  0.000  0.594
Be  0.330  0.500  0.423

***

(7)
DFT (PBE-GGA) results for ZrBe2TeS after structural relaxation.

Magnetization (μB per cell): 0.157
ΔE_f (raw) (eV/atom): 1.33
Space-group type: P4/mmm, No. 123
Raw total energy (eV/atom): -3.325

Cell lengths 5.034, 5.365, 5.034 Å; angles 90.00, 90.00, 90.00 degrees
Site moments in Bohr magnetons follow the coordinates.
Sites, in units of the cell vectors:
Be  0.000  0.000  0.500  -0.01
Zr  0.000  0.000  0.000  0.00
Te  0.000  0.500  0.000  0.02
Be  0.500  0.000  0.000  0.00
S  0.500  0.500  0.500  0.10

***

(8)
DFT (PBE-GGA) results for ThBeS after structural relaxation.

Magnetization (μB per cell): 0.000
ΔE_f (raw) (eV/atom): -0.66
Space-group type: Cmcm, No. 63
Raw total energy (eV/atom): -5.754

Cell lengths 4.984, 4.149, 6.731 Å; angles 90.00, 111.73, 90.00 degrees
Sites, in units of the cell vectors:
Be  0.474  0.750  0.948
Th  0.121  0.750  0.242
S  0.279  0.250  0.558
S  0.721  0.750  0.442
Th  0.879  0.250  0.758
Be  0.526  0.250  0.052

***

(9)
DFT (PBE-GGA) results for TiBeS3 after structural relaxation.

Magnetization (μB per cell): 0.000
ΔE_f (raw) (eV/atom): 0.08
Space-group type: Pm-3m, No. 221
Raw total energy (eV/atom): -4.716

Cell lengths 4.663, 4.663, 4.663 Å; angles 90.00, 90.00, 90.00 degrees
Sites, in units of the cell vectors:
Be  0.500  0.500  0.500
S  0.000  0.000  0.500
S  0.500  0.000  0.000
S  0.000  0.500  0.000
Ti  0.000  0.000  0.000

***

(10)
DFT (PBE-GGA) results for Ti4Be2S after structural relaxation.

Magnetization (μB per cell): 0.000
ΔE_f (raw) (eV/atom): 0.03
Space-group type: I4/mmm, No. 139
Raw total energy (eV/atom): -6.137

Cell lengths 4.492, 4.492, 6.507 Å; angles 69.81, 69.81, 90.00 degrees
Sites, in units of the cell vectors:
Ti  0.000  0.500  0.000
Ti  0.200  0.200  0.599
Be  0.409  0.409  0.181
Be  0.591  0.591  0.819
Ti  0.800  0.800  0.401
Ti  0.500  0.000  0.000
S  0.000  0.000  0.000

***

(11)
DFT (PBE-GGA) results for TiBeS3 after structural relaxation.

Magnetization (μB per cell): 0.000
ΔE_f (raw) (eV/atom): -0.03
Space-group type: Pm-3m, No. 221
Raw total energy (eV/atom): -4.826

Cell lengths 4.276, 4.276, 4.276 Å; angles 90.00, 90.00, 90.00 degrees
Sites, in units of the cell vectors:
Be  0.000  0.000  0.000
S  0.000  0.000  0.500
S  0.000  0.500  0.000
S  0.500  0.000  0.000
Ti  0.500  0.500  0.500

***

(12)
DFT (PBE-GGA) results for Ti2BeS after structural relaxation.

Magnetization (μB per cell): 0.000
ΔE_f (raw) (eV/atom): 0.18
Space-group type: I-42d, No. 122
Raw total energy (eV/atom): -5.727

Cell lengths 5.251, 5.251, 6.721 Å; angles 67.00, 67.00, 90.00 degrees
Sites, in units of the cell vectors:
S  0.000  0.000  0.000
Be  0.500  0.500  0.000
Ti  0.140  0.625  0.250
Ti  0.875  0.860  0.750
Ti  0.610  0.125  0.250
S  0.750  0.250  0.500
Be  0.250  0.750  0.500
Ti  0.375  0.390  0.750

***

(13)
DFT (PBE-GGA) results for Ti2BeS after structural relaxation.

Magnetization (μB per cell): 0.000
ΔE_f (raw) (eV/atom): -0.21
Space-group type: Fm-3m, No. 225
Raw total energy (eV/atom): -6.124

Cell lengths 4.244, 4.244, 4.244 Å; angles 60.00, 60.00, 60.00 degrees
Sites, in units of the cell vectors:
Ti  0.750  0.750  0.750
Be  0.000  0.000  0.000
S  0.500  0.500  0.500
Ti  0.250  0.250  0.250

***

(14)
DFT (PBE-GGA) results for TiBeS3 after structural relaxation.

Magnetization (μB per cell): 0.000
ΔE_f (raw) (eV/atom): -1.01
Space-group type: Amm2, No. 38
Raw total energy (eV/atom): -5.811

Cell lengths 3.397, 6.186, 6.186 Å; angles 115.80, 90.00, 90.00 degrees
Sites, in units of the cell vectors:
Be  0.500  0.088  0.912
Ti  0.000  0.417  0.583
S  0.500  0.219  0.293
S  0.000  0.198  0.802
S  0.500  0.707  0.781

***

(15)
DFT (PBE-GGA) results for BeTl5S4 after structural relaxation.

Magnetization (μB per cell): 0.000
ΔE_f (raw) (eV/atom): -0.36
Space-group type: Pmmn, No. 59
Raw total energy (eV/atom): -3.567

Cell lengths 7.619, 9.545, 8.033 Å; angles 90.00, 90.00, 90.00 degrees
Sites, in units of the cell vectors:
S  0.033  0.315  0.500
Tl  0.897  0.500  0.000
Tl  0.267  0.690  0.217
Be  0.872  0.500  0.500
Tl  0.267  0.310  0.783
Tl  0.733  0.190  0.717
S  0.701  0.500  0.289
S  0.299  0.000  0.211
Tl  0.733  0.810  0.283
S  0.967  0.815  0.000
Tl  0.733  0.190  0.283
S  0.299  0.000  0.789
S  0.701  0.500  0.711
S  0.033  0.685  0.500
S  0.967  0.185  0.000
Tl  0.103  0.000  0.500
Tl  0.267  0.690  0.783
Tl  0.267  0.310  0.217
Tl  0.733  0.810  0.717
Be  0.128  0.000  0.000

***

(16)
DFT (PBE-GGA) results for BeTlS2 after structural relaxation.

Magnetization (μB per cell): 0.000
ΔE_f (raw) (eV/atom): -0.23
Space-group type: R-3m, No. 166
Raw total energy (eV/atom): -3.815

Cell lengths 7.018, 7.018, 7.018 Å; angles 37.42, 37.42, 37.42 degrees
Sites, in units of the cell vectors:
S  0.904  0.904  0.904
Tl  0.500  0.500  0.500
Be  0.000  0.000  0.000
S  0.096  0.096  0.096

***

(17)
DFT (PBE-GGA) results for BeTlS2 after structural relaxation.

Magnetization (μB per cell): 0.000
ΔE_f (raw) (eV/atom): -0.48
Space-group type: I-42d, No. 122
Raw total energy (eV/atom): -4.066

Cell lengths 5.921, 5.921, 6.481 Å; angles 62.82, 62.82, 90.00 degrees
Sites, in units of the cell vectors:
Be  0.500  0.500  0.000
Tl  0.000  0.000  0.000
S  0.375  0.477  0.750
S  0.523  0.125  0.250
Tl  0.750  0.250  0.500
S  0.227  0.625  0.250
Be  0.250  0.750  0.500
S  0.875  0.773  0.750

***

(18)
DFT (PBE-GGA) results for BeTlS2 after structural relaxation.

Magnetization (μB per cell): 0.000
ΔE_f (raw) (eV/atom): 0.54
Space-group type: Fm-3m, No. 225
Raw total energy (eV/atom): -3.048

Cell lengths 4.711, 4.711, 4.711 Å; angles 60.00, 60.00, 60.00 degrees
Sites, in units of the cell vectors:
S  0.250  0.250  0.250
S  0.750  0.750  0.750
Tl  0.500  0.500  0.500
Be  0.000  0.000  0.000

***

(19)
DFT (PBE-GGA) results for BeTlS2 after structural relaxation.

Magnetization (μB per cell): 0.000
ΔE_f (raw) (eV/atom): -0.11
Space-group type: R-3m, No. 166
Raw total energy (eV/atom): -3.697

Cell lengths 7.817, 7.817, 7.817 Å; angles 25.37, 25.37, 25.37 degrees
Sites, in units of the cell vectors:
S  0.117  0.117  0.117
Tl  0.000  0.000  0.000
S  0.883  0.883  0.883
Be  0.500  0.500  0.500

***

(20)
DFT (PBE-GGA) results for BeTl3S after structural relaxation.

Magnetization (μB per cell): 0.000
ΔE_f (raw) (eV/atom): 0.19
Space-group type: Pm-3m, No. 221
Raw total energy (eV/atom): -2.797

Cell lengths 4.994, 4.994, 4.994 Å; angles 90.00, 90.00, 90.00 degrees
Sites, in units of the cell vectors:
Tl  0.500  0.000  0.000
Tl  0.000  0.000  0.500
S  0.500  0.500  0.500
Tl  0.000  0.500  0.000
Be  0.000  0.000  0.000

***

(21)
DFT (PBE-GGA) results for UBeTl2S5 after structural relaxation.

Magnetization (μB per cell): 0.419
ΔE_f (raw) (eV/atom): -0.79
Space-group type: P2_1, No. 4
Raw total energy (eV/atom): -5.282

Cell lengths 3.934, 9.065, 13.699 Å; angles 90.01, 90.00, 102.60 degrees
Site moments in Bohr magnetons follow the coordinates.
Sites, in units of the cell vectors:
U  0.806  0.609  0.525  0.29
S  0.508  0.019  0.797  0.00
S  0.313  0.622  0.396  -0.01
Be  0.434  0.860  0.422  0.00
S  0.669  0.336  0.512  -0.02
U  0.194  0.391  0.025  0.29
S  0.695  0.394  0.148  -0.01
Tl  0.113  0.222  0.337  0.00
Be  0.566  0.140  0.922  0.00
S  0.331  0.664  0.012  -0.02
S  0.687  0.378  0.896  -0.01
Tl  0.887  0.778  0.837  0.00
S  0.049  0.104  0.006  -0.01
Tl  0.098  0.198  0.681  0.00
Tl  0.902  0.802  0.181  0.00
S  0.951  0.897  0.506  -0.01
S  0.305  0.606  0.648  -0.01
S  0.492  0.981  0.297  0.00

***

(22)
DFT (PBE-GGA) results for U3BeTl3S8 after structural relaxation.

Magnetization (μB per cell): 7.002
ΔE_f (raw) (eV/atom): -0.93
Space-group type: C2/m, No. 12
Raw total energy (eV/atom): -6.109

Cell lengths 8.139, 7.718, 8.672 Å; angles 114.22, 90.00, 121.82 degrees
Site moments in Bohr magnetons follow the coordinates.
Sites, in units of the cell vectors:
S  0.290  0.043  0.296  -0.06
S  0.710  0.957  0.704  -0.06
Be  0.000  0.000  0.500  0.00
S  0.753  0.043  0.296  -0.06
Tl  0.000  0.500  0.000  0.01
U  0.500  0.000  0.500  2.16
Tl  0.500  0.500  0.000  0.01
S  0.247  0.957  0.704  -0.06
U  0.000  0.500  0.500  2.27
S  0.180  0.360  0.653  -0.04
Tl  0.000  0.000  0.000  0.01
S  0.735  0.471  0.699  -0.06
S  0.820  0.640  0.347  -0.04
S  0.265  0.529  0.301  -0.06
U  0.500  0.500  0.500  2.27

***

(23)
DFT (PBE-GGA) results for ZrBe2TlS after structural relaxation.

Magnetization (μB per cell): 0.000
ΔE_f (raw) (eV/atom): 0.64
Space-group type: P4/mmm, No. 123
Raw total energy (eV/atom): -3.857

Cell lengths 5.050, 4.900, 5.050 Å; angles 90.00, 90.00, 90.00 degrees
Sites, in units of the cell vectors:
Zr  0.000  0.000  0.000
S  0.000  0.500  0.000
Be  0.000  0.000  0.500
Be  0.500  0.000  0.000
Tl  0.500  0.500  0.500

***

(24)
DFT (PBE-GGA) results for Tm6BeS5 after structural relaxation.

Magnetization (μB per cell): 0.000
ΔE_f (raw) (eV/atom): -1.64
Space-group type: C2/m, No. 12
Raw total energy (eV/atom): -5.906

Cell lengths 6.684, 6.717, 6.701 Å; angles 59.92, 80.37, 70.49 degrees
Sites, in units of the cell vectors:
S  0.000  0.665  0.669
S  0.000  0.335  0.331
Tm  0.757  0.760  0.000
S  0.500  0.173  0.655
Tm  0.241  0.920  0.679
S  0.500  0.827  0.345
Tm  0.243  0.240  0.000
S  0.500  0.500  0.000
Tm  0.759  0.080  0.321
Tm  0.241  0.599  0.321
Tm  0.759  0.401  0.679
Be  0.000  0.000  0.000

***

(25)
DFT (PBE-GGA) results for TmBeS after structural relaxation.

Magnetization (μB per cell): 0.000
ΔE_f (raw) (eV/atom): -0.99
Space-group type: R-3m, No. 166
Raw total energy (eV/atom): -5.098

Cell lengths 4.311, 4.311, 7.633 Å; angles 73.59, 73.59, 60.00 degrees
Sites, in units of the cell vectors:
Be  0.176  0.176  0.471
Be  0.824  0.824  0.529
S  0.719  0.719  0.842
Tm  0.423  0.423  0.731
S  0.281  0.281  0.158
Tm  0.577  0.577  0.269